Entry 1:
Entry from the Alexandria database: LaDyTmZr after structural relaxation (GGA-PBE).

```
LaDyTmZr
1.0
5.526 0.000 0.000
2.763 4.786 0.000
2.763 1.595 4.512
Tm La Zr Dy
1 1 1 1
direct
0.000 0.000 0.000 Tm
0.250 0.250 0.250 La
0.750 0.750 0.750 Zr
0.500 0.500 0.500 Dy
```

**Total DFT energy (no corrections)**: -5.427 eV per atom
**Total magnetization**: 0.61 μB/f.u.
**Space group**: F-43m

Entry 2:
Entry from the Alexandria database: La2DyV after structural relaxation (GGA-PBE).

```
La2DyV
1.0
3.433 0.000 0.000
1.717 2.973 0.000
1.717 0.991 11.733
V La Dy
1 2 1
direct
0.000 0.000 0.000 V
0.078 0.078 0.766 La
0.922 0.922 0.234 La
0.500 0.500 0.500 Dy
```

**Total DFT energy (no corrections)**: -5.282 eV per atom
**Total magnetization**: 2.83 μB/f.u.
**Space group**: R-3m

Entry 3:
Entry from the Alexandria database: LaDy2Y3 after structural relaxation (GGA-PBE).

```
LaDy2Y3
1.0
-0.138 -5.567 3.723
4.920 2.949 3.460
-6.974 4.258 3.755
La Dy Y
2 4 6
direct
0.103 0.897 0.250 La
0.897 0.103 0.750 La
0.870 0.376 0.124 Dy
0.624 0.130 0.376 Dy
0.130 0.624 0.876 Dy
0.376 0.870 0.624 Dy
0.158 0.325 0.492 Y
0.675 0.842 0.008 Y
0.842 0.675 0.508 Y
0.325 0.158 0.992 Y
0.430 0.570 0.250 Y
0.570 0.430 0.750 Y
```

**Total DFT energy (no corrections)**: -5.515 eV per atom
**Total magnetization**: 0.00 μB/f.u.
**Space group**: C2/c

Entry 4:
Entry from the Alexandria database: La7Dy2Y after structural relaxation (GGA-PBE).

```
La7Dy2Y
1.0
-1.306 -5.620 -0.507
7.918 -2.248 4.519
-8.211 1.521 4.293
La Dy Y
7 2 1
direct
0.000 0.768 0.232 La
0.000 0.232 0.768 La
0.500 0.068 0.294 La
0.500 0.932 0.706 La
0.500 0.294 0.068 La
0.500 0.706 0.932 La
0.500 0.500 0.500 La
0.500 0.706 0.294 Dy
0.500 0.294 0.706 Dy
0.000 0.000 0.000 Y
```

**Relative energy among the computed polymorphs**: 265 meV/atom
**Total magnetization**: 0.00 μB/f.u.
**Space group**: Cmmm

Entry 5:
Entry from the Alexandria database: La10DyY4 after structural relaxation (GGA-PBE).

```
La10DyY4
1.0
-3.421 6.246 -3.605
-9.471 1.002 1.887
0.219 8.209 5.180
La Dy Y
10 1 4
direct
0.250 0.500 0.500 La
0.652 0.298 0.900 La
0.049 0.100 0.298 La
0.448 0.900 0.702 La
0.850 0.702 0.100 La
0.348 0.702 0.100 La
0.750 0.500 0.500 La
0.150 0.298 0.900 La
0.552 0.100 0.298 La
0.951 0.900 0.702 La
0.000 0.000 0.000 Dy
0.400 0.801 0.400 Y
0.799 0.600 0.801 Y
0.201 0.400 0.199 Y
0.600 0.199 0.600 Y
```

**Total DFT energy (no corrections)**: -4.656 eV per atom
**Total magnetization**: 0.00 μB/f.u.
**Space group**: I4/m

Entry 6:
Entry from the Alexandria database: La2Dy2Y after structural relaxation (GGA-PBE).

```
La2Dy2Y
1.0
6.350 0.000 0.000
-3.175 7.730 -2.199
0.000 0.229 6.890
La Dy Y
4 4 2
direct
0.818 0.798 0.056 La
0.020 0.202 0.444 La
0.182 0.202 0.944 La
0.980 0.798 0.556 La
0.620 0.401 0.650 Dy
0.219 0.599 0.850 Dy
0.380 0.599 0.350 Dy
0.781 0.401 0.150 Dy
0.583 0.000 0.750 Y
0.417 0.000 0.250 Y
```

**Relative energy among the computed polymorphs**: 0 meV/atom
**Total magnetization**: 0.00 μB/f.u.
**Space group**: C2/c

Entry 7:
Entry from the Alexandria database: La2Dy15Y2 after structural relaxation (GGA-PBE).

```
La2Dy15Y2
1.0
-5.363 -4.307 5.386
-2.791 -6.321 -5.346
5.242 -6.534 2.481
La Dy Y
2 15 2
direct
0.117 0.117 0.117 La
0.883 0.883 0.883 La
0.000 0.000 0.500 Dy
0.500 0.000 0.000 Dy
0.000 0.500 0.000 Dy
0.305 0.695 0.000 Dy
0.000 0.305 0.695 Dy
0.695 0.000 0.305 Dy
0.000 0.695 0.305 Dy
0.305 0.000 0.695 Dy
0.695 0.305 0.000 Dy
0.630 0.630 0.155 Dy
0.155 0.630 0.630 Dy
0.630 0.155 0.630 Dy
0.370 0.370 0.845 Dy
0.845 0.370 0.370 Dy
0.370 0.845 0.370 Dy
0.330 0.330 0.330 Y
0.670 0.670 0.670 Y
```

**Total DFT energy (no corrections)**: -4.555 eV per atom
**Total magnetization**: 0.00 μB/f.u.
**Space group**: R-3m

Entry 8:
Entry from the Alexandria database: La3Dy4Y8 after structural relaxation (GGA-PBE).

```
La3Dy4Y8
1.0
-5.412 3.027 -2.782
-1.976 -3.368 8.503
5.564 6.206 4.252
La Dy Y
3 4 8
direct
0.500 0.500 0.000 La
0.500 0.000 0.500 La
0.500 0.500 0.500 La
0.500 0.000 0.000 Dy
0.000 0.500 0.000 Dy
0.000 0.000 0.000 Dy
0.000 0.000 0.500 Dy
0.531 0.266 0.266 Y
0.000 0.643 0.357 Y
0.003 0.260 0.260 Y
0.500 0.748 0.252 Y
0.500 0.252 0.748 Y
0.997 0.740 0.740 Y
0.000 0.357 0.643 Y
0.469 0.734 0.734 Y
```

**Total DFT energy (no corrections)**: -5.273 eV per atom
**Total magnetization**: 0.00 μB/f.u.
**Space group**: C2/m

Entry 9:
Entry from the Alexandria database: La4DyY2 after structural relaxation (GGA-PBE).

```
La4DyY2
1.0
-3.135 3.501 5.175
1.359 -3.860 8.155
5.522 6.103 3.937
La Dy Y
8 2 4
direct
0.151 0.350 0.347 La
0.151 0.847 0.850 La
0.223 0.244 0.744 La
0.790 0.244 0.744 La
0.210 0.756 0.256 La
0.849 0.153 0.150 La
0.777 0.756 0.256 La
0.849 0.650 0.653 La
0.000 0.500 0.000 Dy
0.500 0.500 0.000 Dy
0.286 0.964 0.464 Y
0.500 0.000 0.000 Y
0.500 0.500 0.500 Y
0.714 0.036 0.536 Y
```

**Relative energy among the computed polymorphs**: 151 meV/atom
**Total magnetization**: 0.00 μB/f.u.
**Space group**: Imma

Entry 10:
Entry from the Alexandria database: La2Dy4Y5 after structural relaxation (GGA-PBE).

```
La2Dy4Y5
1.0
-5.008 4.462 -0.303
-4.208 0.863 7.871
0.234 5.892 8.507
La Dy Y
2 4 5
direct
0.202 0.893 0.703 La
0.798 0.107 0.297 La
0.414 0.768 0.404 Dy
0.586 0.232 0.596 Dy
0.756 0.685 0.804 Dy
0.244 0.315 0.196 Dy
0.173 0.270 0.908 Y
0.827 0.730 0.092 Y
0.000 0.500 0.500 Y
0.649 0.270 0.908 Y
0.351 0.730 0.092 Y
```

**Relative energy among the computed polymorphs**: 6 meV/atom
**Total magnetization**: 0.00 μB/f.u.
**Space group**: C2/m

Entry 11:
Entry from the Alexandria database: La5Dy2Y6 after structural relaxation (GGA-PBE).

```
La5Dy2Y6
1.0
3.641 0.000 0.000
0.000 11.777 0.000
0.000 0.000 20.877
La Dy Y
10 4 12
direct
0.500 0.299 0.452 La
0.500 0.701 0.548 La
0.500 0.799 0.048 La
0.500 0.201 0.952 La
0.500 0.579 0.271 La
0.500 0.421 0.729 La
0.500 0.079 0.229 La
0.500 0.921 0.771 La
0.500 0.500 0.000 La
0.500 0.000 0.500 La
0.000 0.327 0.290 Dy
0.000 0.673 0.710 Dy
0.000 0.827 0.210 Dy
0.000 0.173 0.790 Dy
0.000 0.080 0.369 Y
0.000 0.920 0.631 Y
0.000 0.580 0.131 Y
0.000 0.420 0.869 Y
0.500 0.323 0.140 Y
0.500 0.677 0.860 Y
0.500 0.823 0.360 Y
0.500 0.177 0.640 Y
0.000 0.561 0.418 Y
0.000 0.439 0.582 Y
0.000 0.061 0.082 Y
0.000 0.939 0.918 Y
```

**Total DFT energy (no corrections)**: -5.493 eV per atom
**Total magnetization**: 0.00 μB/f.u.
**Space group**: Pbam

Entry 12:
Entry from the Alexandria database: La6Dy5Y2 after structural relaxation (GGA-PBE).

```
La6Dy5Y2
1.0
3.649 0.000 0.000
0.000 11.831 0.000
0.000 0.000 20.918
La Dy Y
12 10 4
direct
0.000 0.081 0.366 La
0.000 0.919 0.634 La
0.000 0.581 0.134 La
0.000 0.419 0.866 La
0.500 0.325 0.134 La
0.500 0.675 0.866 La
0.500 0.825 0.366 La
0.500 0.175 0.634 La
0.000 0.559 0.420 La
0.000 0.441 0.580 La
0.000 0.059 0.080 La
0.000 0.941 0.920 La
0.500 0.299 0.443 Dy
0.500 0.701 0.557 Dy
0.500 0.799 0.057 Dy
0.500 0.201 0.943 Dy
0.500 0.595 0.274 Dy
0.500 0.405 0.726 Dy
0.500 0.095 0.226 Dy
0.500 0.905 0.774 Dy
0.500 0.500 0.000 Dy
0.500 0.000 0.500 Dy
0.000 0.336 0.290 Y
0.000 0.664 0.710 Y
0.000 0.836 0.210 Y
0.000 0.164 0.790 Y
```

**Total DFT energy (no corrections)**: -4.931 eV per atom
**Total magnetization**: 0.00 μB/f.u.
**Space group**: Pbam

Entry 13:
Entry from the Alexandria database: La5DyY4 after structural relaxation (GGA-PBE).

```
La5DyY4
1.0
-1.177 0.866 3.404
2.813 -1.918 1.461
14.329 20.763 -0.330
La Dy Y
5 1 4
direct
0.500 0.500 0.099 La
0.500 0.500 0.300 La
0.500 0.500 0.500 La
0.500 0.500 0.700 La
0.500 0.500 0.901 La
0.000 0.000 0.000 Dy
0.000 0.000 0.199 Y
0.000 0.000 0.400 Y
0.000 0.000 0.600 Y
0.000 0.000 0.801 Y
```

**Total DFT energy (no corrections)**: -5.487 eV per atom
**Total magnetization**: 0.00 μB/f.u.
**Space group**: P4/mmm

Entry 14:
Entry from the Alexandria database: La3Dy7Y2 after structural relaxation (GGA-PBE).

```
La3Dy7Y2
1.0
3.560 0.000 0.000
0.000 6.336 -0.808
0.000 -2.153 18.033
La Dy Y
3 7 2
direct
0.500 0.500 0.000 La
0.000 0.886 0.340 La
0.000 0.114 0.660 La
0.500 0.248 0.500 Dy
0.500 0.752 0.500 Dy
0.000 0.435 0.166 Dy
0.000 0.000 0.000 Dy
0.000 0.565 0.834 Dy
0.500 0.058 0.835 Dy
0.500 0.942 0.165 Dy
0.500 0.379 0.326 Y
0.500 0.621 0.674 Y
```

**Total DFT energy (no corrections)**: -4.905 eV per atom
**Total magnetization**: 0.00 μB/f.u.
**Space group**: P2/m

Entry 15:
Entry from the Alexandria database: LaDy4Y7 after structural relaxation (GGA-PBE).

```
LaDy4Y7
1.0
5.905 0.000 0.000
2.952 11.273 -0.199
2.952 0.249 6.057
La Dy Y
1 4 7
direct
0.000 0.000 0.000 La
0.631 0.226 0.513 Dy
0.369 0.774 0.487 Dy
0.743 0.687 0.827 Dy
0.257 0.313 0.173 Dy
0.790 0.922 0.498 Y
0.210 0.078 0.502 Y
0.054 0.662 0.230 Y
0.946 0.338 0.770 Y
0.364 0.507 0.766 Y
0.500 0.000 0.000 Y
0.636 0.493 0.234 Y
```

**Total DFT energy (no corrections)**: -5.437 eV per atom
**Total magnetization**: 0.00 μB/f.u.
**Space group**: C2/m

Entry 16:
Entry from the Alexandria database: La7Dy3Y after structural relaxation (GGA-PBE).

```
La7Dy3Y
1.0
-5.351 -0.355 6.873
-5.549 -1.676 -4.406
4.074 -5.293 2.898
La Dy Y
7 3 1
direct
0.101 0.165 0.835 La
0.101 0.165 0.329 La
0.132 0.667 0.333 La
0.463 0.835 0.165 La
0.463 0.330 0.165 La
0.463 0.835 0.670 La
0.101 0.671 0.835 La
0.782 0.500 0.500 Dy
0.782 0.500 0.999 Dy
0.782 0.001 0.500 Dy
0.442 0.333 0.667 Y
```

**Relative energy among the computed polymorphs**: 44 meV/atom
**Total magnetization**: 0.00 μB/f.u.
**Space group**: P3m1

Entry 17:
Entry from the Alexandria database: LaDy4Y8 after structural relaxation (GGA-PBE).

```
LaDy4Y8
1.0
6.447 0.000 -3.478
-4.162 6.029 0.000
1.182 0.817 9.905
La Dy Y
1 4 8
direct
0.000 0.500 0.500 La
0.000 0.000 0.000 Dy
0.000 0.500 0.000 Dy
0.500 0.500 0.000 Dy
0.500 0.000 0.000 Dy
0.562 0.781 0.343 Y
0.438 0.219 0.657 Y
0.502 0.251 0.305 Y
0.946 0.198 0.695 Y
0.498 0.749 0.695 Y
0.946 0.749 0.695 Y
0.054 0.251 0.305 Y
0.054 0.802 0.305 Y
```

**Total DFT energy (no corrections)**: -5.584 eV per atom
**Total magnetization**: 0.00 μB/f.u.
**Space group**: R-3m

Entry 18:
Entry from the Alexandria database: La2DyY after structural relaxation (GGA-PBE).

```
La2DyY
1.0
-2.295 2.203 -1.821
-2.543 -1.433 -2.218
-9.177 -0.206 7.625
La Dy Y
2 1 1
direct
0.750 0.750 0.751 La
0.250 0.250 0.249 La
0.000 0.000 0.000 Dy
0.500 0.500 0.500 Y
```

**Relative energy among the computed polymorphs**: 0 meV/atom
**Total magnetization**: 0.00 μB/f.u.
**Space group**: R-3m

Entry 19:
Entry from the Alexandria database: La3Dy4Y after structural relaxation (GGA-PBE).

```
La3Dy4Y
1.0
-4.752 -4.528 -3.069
5.374 -3.215 -3.577
1.243 -6.577 7.778
La Dy Y
6 8 2
direct
0.814 0.743 0.000 La
0.064 0.000 0.250 La
0.564 0.000 0.250 La
0.314 0.257 0.500 La
0.564 0.000 0.750 La
0.064 0.000 0.750 La
0.315 0.744 0.000 Dy
0.315 0.255 0.000 Dy
0.064 0.500 0.250 Dy
0.564 0.500 0.250 Dy
0.815 0.745 0.500 Dy
0.815 0.256 0.500 Dy
0.564 0.500 0.750 Dy
0.064 0.500 0.750 Dy
0.814 0.254 0.000 Y
0.314 0.746 0.500 Y
```

**Relative energy among the computed polymorphs**: 0 meV/atom
**Total magnetization**: 0.00 μB/f.u.
**Space group**: Pmmn

Entry 20:
Entry from the Alexandria database: LaDy6Y4 after structural relaxation (GGA-PBE).

```
LaDy6Y4
1.0
7.668 0.000 0.000
0.000 7.668 0.000
-3.834 -3.834 6.570
La Dy Y
1 6 4
direct
0.500 0.500 0.000 La
0.929 0.441 0.370 Dy
0.441 0.929 0.370 Dy
0.559 0.559 0.630 Dy
0.000 0.500 0.000 Dy
0.071 0.071 0.630 Dy
0.500 0.000 0.000 Dy
0.088 0.756 0.844 Y
0.912 0.912 0.156 Y
0.756 0.088 0.844 Y
0.244 0.244 0.156 Y
```

**Relative energy among the computed polymorphs**: 325 meV/atom
**Total magnetization**: 0.00 μB/f.u.
**Space group**: I-42m